[1]
VASP calculation (PBE-GGA) on a relaxed structure of K2YTa.

Summary:
Offset from the most stable computed form = 0.406 eV per atom
Calculated formation energy = 4.4 eV/f.u.

Structure (CIF):
```
data_K2YTa
_cell_length_a 3.2524
_cell_length_b 3.2524
_cell_length_c 40.9303
_cell_angle_alpha 90.00
_cell_angle_beta 90.00
_cell_angle_gamma 120.00
_space_group_name_H-M_alt 'R -3 m'
_space_group_IT_number 166
_space_group_name_Hall '-R 3 2"'
loop_
_atom_site_label
_atom_site_type_symbol
_atom_site_fract_x
_atom_site_fract_y
_atom_site_fract_z
_atom_site_occupancy
K1 K 0.0000 0.0000 0.2441 1
Y1 Y 0.0000 0.0000 0.0000 1
Ta1 Ta 0.0000 0.0000 0.5000 1
```

[2]
VASP calculation (PBE-GGA) on a relaxed structure of La2CePaP4.

Summary:
Calculated formation energy = -11.9 eV/f.u.

Structure (CIF):
```
data_La2CePaP4
_cell_length_a 7.157
_cell_length_b 4.132
_cell_length_c 7.197
_cell_angle_alpha 90.00
_cell_angle_beta 109.32
_cell_angle_gamma 90.00
_space_group_name_H-M_alt 'P 1 2/m 1'
_space_group_IT_number 10
loop_
_space_group_symop_operation_xyz
'x,y,z'
'-x,-y,-z'
'-x,y,-z'
'x,-y,z'
loop_
_atom_site_label
_atom_site_type_symbol
_atom_site_fract_x
_atom_site_fract_y
_atom_site_fract_z
_atom_site_occupancy
La1 La 0.000 0.000 0.000 1
La2 La 0.500 0.500 0.000 1
Ce1 Ce 0.000 0.500 0.500 1
Pa1 Pa 0.500 0.000 0.500 1
P1 P 0.251 0.000 0.732 1
P2 P 0.263 0.500 0.271 1
```

[3]
VASP calculation (PBE-GGA) on a relaxed structure of RbCa2Cl.

Summary:
Offset from the most stable computed form = 0.000 eV per atom
Raw formation energy = -1.96 eV/f.u.

Structure (CIF):
```
data_RbCa2Cl
_cell_length_a 7.719
_cell_length_b 7.719
_cell_length_c 15.666
_cell_angle_alpha 90.00
_cell_angle_beta 90.00
_cell_angle_gamma 90.00
_space_group_name_H-M_alt 'I -4 2 d'
_space_group_IT_number 122
_space_group_name_Hall 'I -4 2bw'
loop_
_atom_site_label
_atom_site_type_symbol
_atom_site_fract_x
_atom_site_fract_y
_atom_site_fract_z
_atom_site_occupancy
Rb1 Rb 0.000 0.000 0.000 1
Ca1 Ca 0.001 0.250 0.625 1
Cl1 Cl 0.000 0.000 0.500 1
```

[4]
VASP calculation (PBE-GGA) on a relaxed structure of LaDy2Hg3.

Summary:
Calculated formation energy = -2.9 eV/f.u.

Structure (CIF):
```
data_LaDy2Hg3
_cell_length_a 3.759
_cell_length_b 3.759
_cell_length_c 11.494
_cell_angle_alpha 90.00
_cell_angle_beta 90.00
_cell_angle_gamma 90.00
_space_group_name_H-M_alt 'P 4/m m m'
_space_group_IT_number 123
_space_group_name_Hall '-P 4 2'
loop_
_atom_site_label
_atom_site_type_symbol
_atom_site_fract_x
_atom_site_fract_y
_atom_site_fract_z
_atom_site_occupancy
La1 La 0.000 0.000 0.000 1
Dy1 Dy 0.000 0.000 0.339 1
Hg1 Hg 0.500 0.500 0.186 1
Hg2 Hg 0.500 0.500 0.500 1
```

[5]
VASP calculation (PBE-GGA) on a relaxed structure of YBr.

Summary:
Raw formation energy = -1.41 eV/f.u.

Structure (CIF):
```
data_YBr
_cell_length_a 4.094
_cell_length_b 4.094
_cell_length_c 13.460
_cell_angle_alpha 90.00
_cell_angle_beta 90.00
_cell_angle_gamma 90.00
_space_group_name_H-M_alt 'I 41/a m d'
_space_group_IT_number 141
loop_
_space_group_symop_operation_xyz
'x,y,z'
'-x,-y,-z'
'-y+1/4,x+3/4,z+1/4'
'y+1/4,-x+3/4,-z+1/4'
'-x+1/2,-y,z+1/2'
'x+1/2,y,-z+1/2'
'y+1/4,-x+1/4,z+3/4'
'-y+1/4,x+1/4,-z+3/4'
'x,-y,-z'
'-x,y,z'
'-y+1/4,-x+1/4,-z+3/4'
'y+1/4,x+1/4,z+3/4'
'-x+1/2,y,-z+1/2'
'x+1/2,-y,z+1/2'
'y+1/4,x+3/4,-z+1/4'
'-y+1/4,-x+3/4,z+1/4'
'x+1/2,y+1/2,z+1/2'
'-x+1/2,-y+1/2,-z+1/2'
'-y+3/4,x+1/4,z+3/4'
'y+3/4,-x+1/4,-z+3/4'
'-x,-y+1/2,z'
'x,y+1/2,-z'
'y+3/4,-x+3/4,z+1/4'
'-y+3/4,x+3/4,-z+1/4'
'x+1/2,-y+1/2,-z+1/2'
'-x+1/2,y+1/2,z+1/2'
'-y+3/4,-x+3/4,-z+1/4'
'y+3/4,x+3/4,z+1/4'
'-x,y+1/2,-z'
'x,-y+1/2,z'
'y+3/4,x+1/4,-z+3/4'
'-y+3/4,-x+1/4,z+3/4'
loop_
_atom_site_label
_atom_site_type_symbol
_atom_site_fract_x
_atom_site_fract_y
_atom_site_fract_z
_atom_site_occupancy
Y1 Y 0.000 0.250 0.375 1
Br1 Br 0.000 0.250 0.875 1
```

[6]
VASP calculation (PBE-GGA) on a relaxed structure of TiTc2P.

Summary:
Calculated formation energy = -0.2 eV/f.u.

Structure (CIF):
```
data_TiTc2P
_cell_length_a 3.768
_cell_length_b 3.768
_cell_length_c 17.786
_cell_angle_alpha 90.00
_cell_angle_beta 90.00
_cell_angle_gamma 90.00
_space_group_name_H-M_alt 'I -4 2 d'
_space_group_IT_number 122
_space_group_name_Hall 'I -4 2bw'
loop_
_atom_site_label
_atom_site_type_symbol
_atom_site_fract_x
_atom_site_fract_y
_atom_site_fract_z
_atom_site_occupancy
Ti1 Ti 0.000 0.000 0.000 1
Tc1 Tc 0.195 0.250 0.625 1
P1 P 0.000 0.000 0.500 1
```

[7]
VASP calculation (PBE-GGA) on a relaxed structure of AcPrP2S8.

Summary:
Raw formation energy = -11.57 eV/f.u.

Structure (CIF):
```
data_AcPrP2S8
_cell_length_a 6.0321
_cell_length_b 6.0321
_cell_length_c 9.4153
_cell_angle_alpha 90.00
_cell_angle_beta 90.00
_cell_angle_gamma 120.00
_space_group_name_H-M_alt 'P -3'
_space_group_IT_number 147
loop_
_space_group_symop_operation_xyz
'x,y,z'
'-x,-y,-z'
'-y,x-y,z'
'y,-x+y,-z'
'-x+y,-x,z'
'x-y,x,-z'
loop_
_atom_site_label
_atom_site_type_symbol
_atom_site_fract_x
_atom_site_fract_y
_atom_site_fract_z
_atom_site_occupancy
Ac1 Ac 0.0000 0.0000 0.0000 1
Pr1 Pr 0.0000 0.0000 0.5000 1
P1 P 0.3333 0.6667 0.7774 1
S1 S 0.0085 0.3367 0.7165 1
S2 S 0.3333 0.6667 0.9926 1
```

[8]
VASP calculation (PBE-GGA) on a relaxed structure of LaFeOs2.

Summary:
Offset from the most stable computed form = 0.545 eV per atom
Calculated formation energy = 2.5 eV/f.u.

Structure (CIF):
```
data_LaFeOs2
_cell_length_a 3.002
_cell_length_b 4.724
_cell_length_c 4.854
_cell_angle_alpha 90.00
_cell_angle_beta 90.00
_cell_angle_gamma 90.00
_space_group_name_H-M_alt 'P m m m'
_space_group_IT_number 47
loop_
_space_group_symop_operation_xyz
'x,y,z'
'-x,-y,-z'
'-x,-y,z'
'x,y,-z'
'x,-y,-z'
'-x,y,z'
'-x,y,-z'
'x,-y,z'
loop_
_atom_site_label
_atom_site_type_symbol
_atom_site_fract_x
_atom_site_fract_y
_atom_site_fract_z
_atom_site_occupancy
La1 La 0.000 0.000 0.000 1
Fe1 Fe 0.500 0.500 0.000 1
Os1 Os 0.000 0.500 0.500 1
Os2 Os 0.500 0.000 0.500 1
```

[9]
VASP calculation (PBE-GGA) on a relaxed structure of ZrTaTc.

Summary:
Offset from the most stable computed form = 0.399 eV per atom
Calculated formation energy = 0.3 eV/f.u.

Structure (CIF):
```
data_ZrTaTc
_cell_length_a 4.282
_cell_length_b 9.047
_cell_length_c 5.839
_cell_angle_alpha 90.00
_cell_angle_beta 90.00
_cell_angle_gamma 90.00
_space_group_name_H-M_alt 'C m c m'
_space_group_IT_number 63
_space_group_name_Hall '-C 2c 2'
loop_
_atom_site_label
_atom_site_type_symbol
_atom_site_fract_x
_atom_site_fract_y
_atom_site_fract_z
_atom_site_occupancy
Zr1 Zr 0.000 0.000 0.000 1
Ta1 Ta 0.000 0.292 0.250 1
Tc1 Tc 0.000 0.376 0.750 1
```

[10]
VASP calculation (PBE-GGA) on a relaxed structure of HoSb2Au.

Summary:
Raw formation energy = -1.12 eV/f.u.

Structure (CIF):
```
data_HoSb2Au
_cell_length_a 5.5325
_cell_length_b 5.5325
_cell_length_c 11.5822
_cell_angle_alpha 90.00
_cell_angle_beta 90.00
_cell_angle_gamma 120.00
_space_group_name_H-M_alt 'R -3 m'
_space_group_IT_number 166
_space_group_name_Hall '-R 3 2"'
loop_
_atom_site_label
_atom_site_type_symbol
_atom_site_fract_x
_atom_site_fract_y
_atom_site_fract_z
_atom_site_occupancy
Ho1 Ho 0.0000 0.0000 0.0000 1
Sb1 Sb 0.0000 0.0000 0.2669 1
Au1 Au 0.0000 0.0000 0.5000 1
```

[11]
VASP calculation (PBE-GGA) on a relaxed structure of ReAsOs.

Summary:
Offset from the most stable computed form = 0.000 eV per atom
Calculated formation energy = 0.8 eV/f.u.

Structure (CIF):
```
data_ReAsOs
_cell_length_a 2.8620
_cell_length_b 2.8620
_cell_length_c 6.3036
_cell_angle_alpha 90.00
_cell_angle_beta 90.00
_cell_angle_gamma 120.00
_space_group_name_H-M_alt 'P 3 m 1'
_space_group_IT_number 156
loop_
_space_group_symop_operation_xyz
'x,y,z'
'-y,x-y,z'
'-x+y,-x,z'
'-y,-x,z'
'-x+y,y,z'
'x,x-y,z'
loop_
_atom_site_label
_atom_site_type_symbol
_atom_site_fract_x
_atom_site_fract_y
_atom_site_fract_z
_atom_site_occupancy
Re1 Re 0.0000 0.0000 0.0000 1
As1 As 0.6667 0.3333 0.3359 1
Os1 Os 0.3333 0.6667 0.6682 1
```

[12]
VASP calculation (PBE-GGA) on a relaxed structure of Y2ZnRu.

Summary:
Calculated formation energy = -0.7 eV/f.u.

Structure (CIF):
```
data_Y2ZnRu
_cell_length_a 3.431
_cell_length_b 3.431
_cell_length_c 7.670
_cell_angle_alpha 90.00
_cell_angle_beta 90.00
_cell_angle_gamma 90.00
_space_group_name_H-M_alt 'P 4 m m'
_space_group_IT_number 99
loop_
_space_group_symop_operation_xyz
'x,y,z'
'-y,x,z'
'-x,-y,z'
'y,-x,z'
'-x,y,z'
'y,x,z'
'x,-y,z'
'-y,-x,z'
loop_
_atom_site_label
_atom_site_type_symbol
_atom_site_fract_x
_atom_site_fract_y
_atom_site_fract_z
_atom_site_occupancy
Y1 Y 0.000 0.000 0.000 1
Y2 Y 0.500 0.500 0.391 1
Zn1 Zn 0.000 0.000 0.622 1
Ru1 Ru 0.500 0.500 0.767 1
```

It is found that the E values, taken in the order of the records, are -4.04 -7.35 -2.19 -2.99 -4.77 -8.55 -5.36 -8.34 -10.16 -4.31 -9.17 -6.04 eV per atom.